Density functional theory data (meta-GGA SCAN) for a PBEsol-optimized structure of ReIrRh2.

- formation energy from the elements (meV/atom) = -82.8

Unit cell a=2.6972 b=2.6972 c=8.9575 alpha=81.34 beta=81.34 gamma=60.00
Closest atoms and distances in Å follow each position.
Positions (direct):
Ir 0.5009 0.5009 0.4973  3 Re 2.68, 6 Ir 2.70, 3 Rh 2.72
Rh 0.9991 0.9991 0.0028  3 Re 2.67, 9 Rh 2.70-2.72
Rh 0.7498 0.7498 0.7505  9 Rh 2.70-2.72, 3 Ir 2.72
Re 0.2502 0.2502 0.2493  3 Rh 2.67, 3 Ir 2.68, 6 Re 2.70

=====

Density functional theory data (meta-GGA SCAN) for a PBEsol-optimized structure of ReIrRh2.

- formation energy from the elements (meV/atom) = -64.7

Unit cell a=2.6892 b=2.6892 c=8.9919 alpha=81.40 beta=81.40 gamma=60.00
Closest atoms and distances in Å follow each position.
Positions (direct):
Ir 0.5000 0.5000 0.5000  6 Ir 2.69, 6 Rh 2.73
Rh 0.7489 0.7489 0.7533  3 Re 2.68, 6 Rh 2.69, 3 Ir 2.73
Rh 0.2511 0.2511 0.2467  3 Re 2.68, 6 Rh 2.69, 3 Ir 2.73
Re 0.0000 0.0000 0.0000  6 Rh 2.68, 6 Re 2.69

=====

Density functional theory data (meta-GGA SCAN) for a PBEsol-optimized structure of Re2IrRh.

- formation energy from the elements (meV/atom) = -138.7

Unit cell a=2.6843 b=4.7393 c=4.7393 alpha=110.86 beta=90.00 gamma=90.00
Closest atoms and distances in Å follow each position.
Positions (direct):
Re 0.0000 0.0000 0.5000  4 Re 2.68-2.69, 4 Ir 2.72, 4 Rh 2.72
Re 0.0000 0.5000 0.0000  4 Re 2.68-2.69, 4 Rh 2.72, 4 Ir 2.72
Rh 0.5000 0.0000 0.0000  2 Rh 2.68, 2 Ir 2.69, 8 Re 2.72
Ir 0.5000 0.5000 0.5000  2 Ir 2.68, 2 Rh 2.69, 8 Re 2.72

=====

Density functional theory data (meta-GGA SCAN) for a PBEsol-optimized structure of ReIr2Rh.

- formation energy from the elements (meV/atom) = -97.1

Unit cell a=3.8181 b=3.8181 c=4.6902 alpha=114.02 beta=114.02 gamma=90.00
Closest atoms and distances in Å follow each position.
Positions (direct):
Rh 0.2500 0.7500 0.5000  8 Ir 2.70-2.71, 4 Re 2.71
Re 0.0000 0.0000 0.0000  8 Ir 2.70-2.71, 4 Rh 2.71
Ir 0.7500 0.2500 0.5000  4 Rh 2.70, 4 Ir 2.71, 4 Re 2.71
Ir 0.5000 0.5000 0.0000  4 Re 2.70, 4 Rh 2.71, 4 Ir 2.71

=====

Density functional theory data (meta-GGA SCAN) for a PBEsol-optimized structure of Re2IrRh.

- formation energy from the elements (meV/atom) = -292.0

Unit cell a=2.7046 b=4.3451 c=4.7814 alpha=90.00 beta=90.00 gamma=90.00
Closest atoms and distances in Å follow each position.
Positions (direct):
Re 0.0000 0.0000 0.0374  4 Re 2.68-2.70, 4 Ir 2.69, 4 Rh 2.73-2.76
Re 0.0000 0.5000 0.7096  4 Re 2.68-2.70, 4 Rh 2.68, 4 Ir 2.74-2.75
Rh 0.5000 0.0000 0.5417  8 Re 2.68-2.76, 2 Ir 2.69, 2 Rh 2.70
Ir 0.5000 0.5000 0.2114  2 Rh 2.69, 8 Re 2.69-2.75, 2 Ir 2.70

=====

Density functional theory data (meta-GGA SCAN) for a PBEsol-optimized structure of ReIr2Rh.

- formation energy from the elements (meV/atom) = -113.5

Unit cell a=2.6907 b=3.8482 c=5.4004 alpha=90.00 beta=90.00 gamma=90.00
Closest atoms and distances in Å follow each position.
Positions (direct):
Ir 0.5000 0.5000 0.2533  2 Rh 2.67-2.73, 6 Ir 2.69-2.72, 4 Re 2.70
Ir 0.0000 0.0000 0.9982  2 Re 2.69-2.71, 6 Ir 2.69-2.72, 4 Rh 2.71
Re 0.0000 0.0000 0.5005  6 Ir 2.69-2.71, 2 Re 2.69, 4 Rh 2.70
Rh 0.5000 0.5000 0.7480  6 Ir 2.67-2.73, 2 Rh 2.69, 4 Re 2.70

=====

Density functional theory data (meta-GGA SCAN) for a PBEsol-optimized structure of ReIrRh2.

- formation energy from the elements (meV/atom) = -75.0

Unit cell a=2.6786 b=3.8444 c=5.3723 alpha=90.00 beta=90.00 gamma=90.00
Closest atoms and distances in Å follow each position.
Positions (direct):
Ir 0.5000 0.5000 0.0000  2 Ir 2.68, 2 Re 2.69, 8 Rh 2.71
Rh 0.0000 0.0000 0.7468  4 Rh 2.65-2.72, 4 Re 2.69, 4 Ir 2.71
Rh 0.0000 0.0000 0.2532  4 Rh 2.65-2.72, 4 Re 2.69, 4 Ir 2.71
Re 0.5000 0.5000 0.5000  2 Re 2.68, 2 Ir 2.69, 8 Rh 2.69

=====

Density functional theory data (meta-GGA SCAN) for a PBEsol-optimized structure of ReIr2Rh.

- formation energy from the elements (meV/atom) = -133.2

Unit cell a=3.8416 b=3.8416 c=4.6608 alpha=114.34 beta=114.34 gamma=90.00
Closest atoms and distances in Å follow each position.
Positions (direct):
Rh 0.0000 0.0000 0.0000  8 Ir 2.70, 4 Re 2.72
Ir 0.2500 0.7500 0.5000  4 Re 2.70, 4 Rh 2.70, 4 Ir 2.72
Ir 0.7500 0.2500 0.5000  4 Re 2.70, 4 Rh 2.70, 4 Ir 2.72
Re 0.5000 0.5000 0.0000  8 Ir 2.70, 4 Rh 2.72

=====

Density functional theory data (meta-GGA SCAN) for a PBEsol-optimized structure of ReIrRh2.

- formation energy from the elements (meV/atom) = -103.8

Unit cell a=2.6951 b=2.6951 c=7.6614 alpha=90.00 beta=90.00 gamma=90.00
Closest atoms and distances in Å follow each position.
Positions (direct):
Rh 0.0000 0.0000 0.9966  4 Re 2.68, 8 Rh 2.70-2.72
Rh 0.5000 0.5000 0.2500  8 Rh 2.70-2.72, 4 Ir 2.72
Re 0.5000 0.5000 0.7509  4 Rh 2.68, 4 Ir 2.69, 4 Re 2.70
Ir 0.0000 0.0000 0.5024  4 Re 2.69, 4 Ir 2.70, 4 Rh 2.72

=====

Density functional theory data (meta-GGA SCAN) for a PBEsol-optimized structure of ReIrRh2.

- formation energy from the elements (meV/atom) = -56.0

Unit cell a=2.6856 b=4.6845 c=4.6845 alpha=110.28 beta=90.00 gamma=90.00
Closest atoms and distances in Å follow each position.
Positions (direct):
Rh 0.0000 0.5000 0.0000  4 Rh 2.68-2.69, 4 Ir 2.70, 4 Re 2.70
Rh 0.0000 0.0000 0.5000  4 Rh 2.68-2.69, 4 Re 2.70, 4 Ir 2.70
Ir 0.5000 0.0000 0.0000  2 Re 2.68, 2 Ir 2.69, 8 Rh 2.70
Re 0.5000 0.5000 0.5000  2 Ir 2.68, 2 Re 2.69, 8 Rh 2.70

=====

Density functional theory data (meta-GGA SCAN) for a PBEsol-optimized structure of ReIr2Rh.

- formation energy from the elements (meV/atom) = -95.0

Unit cell a=3.8015 b=3.8336 c=3.8336 alpha=90.00 beta=90.00 gamma=90.00
Closest atoms and distances in Å follow each position.
Positions (direct):
Ir 0.0000 0.0000 0.5000  4 Re 2.70, 4 Rh 2.70, 4 Ir 2.71
Ir 0.0000 0.5000 0.0000  4 Re 2.70, 4 Rh 2.70, 4 Ir 2.71
Rh 0.5000 0.0000 0.0000  8 Ir 2.70, 4 Re 2.71
Re 0.5000 0.5000 0.5000  8 Ir 2.70, 4 Rh 2.71

=====

Density functional theory data (meta-GGA SCAN) for a PBEsol-optimized structure of ReIrRh2.

- formation energy from the elements (meV/atom) = -51.6

Unit cell a=2.6781 b=2.6781 c=7.7228 alpha=90.00 beta=90.00 gamma=90.00
Closest atoms and distances in Å follow each position.
Positions (direct):
Rh 0.0000 0.0000 0.7478  4 Rh 2.68, 4 Re 2.69, 4 Ir 2.72
Rh 0.0000 0.0000 0.2522  4 Rh 2.68, 4 Re 2.69, 4 Ir 2.72
Re 0.5000 0.5000 0.5000  4 Re 2.68, 8 Rh 2.69
Ir 0.5000 0.5000 0.0000  4 Ir 2.68, 8 Rh 2.72

=====

Density functional theory data (meta-GGA SCAN) for a PBEsol-optimized structure of ReIr2Ru.

- formation energy from the elements (meV/atom) = -137.6

Unit cell a=3.8181 b=3.8181 c=4.6818 alpha=114.06 beta=114.06 gamma=90.00
Closest atoms and distances in Å follow each position.
Positions (direct):
Re 0.0000 0.0000 0.0000  4 Ru 2.70, 8 Ir 2.70
Ir 0.7500 0.2500 0.5000  4 Ir 2.70, 4 Re 2.70, 4 Ru 2.70
Ir 0.2500 0.7500 0.5000  4 Ir 2.70, 4 Re 2.70, 4 Ru 2.70
Ru 0.5000 0.5000 0.0000  4 Re 2.70, 8 Ir 2.70

=====

Density functional theory data (meta-GGA SCAN) for a PBEsol-optimized structure of ReIr2Ru.

- formation energy from the elements (meV/atom) = 326.4

Unit cell a=3.2814 b=3.2814 c=5.3594 alpha=90.00 beta=90.00 gamma=90.00
Closest atoms and distances in Å follow each position.
Positions (direct):
Ru 0.5000 0.5000 0.5000  8 Ir 2.67, 2 Re 2.68
Ir 0.0000 0.0000 0.2525  2 Ir 2.65-2.71, 4 Ru 2.67, 4 Re 2.69
Ir 0.0000 0.0000 0.7475  2 Ir 2.65-2.71, 4 Ru 2.67, 4 Re 2.69
Re 0.5000 0.5000 0.0000  2 Ru 2.68, 8 Ir 2.69

=====

Density functional theory data (meta-GGA SCAN) for a PBEsol-optimized structure of ReIrRu2.

- formation energy from the elements (meV/atom) = -28.0

Unit cell a=2.6983 b=4.6526 c=4.6526 alpha=109.15 beta=90.00 gamma=90.00
Closest atoms and distances in Å follow each position.
Positions (direct):
Ru 0.0000 0.0000 0.5000  4 Ir 2.69, 4 Re 2.69, 4 Ru 2.70
Ru 0.0000 0.5000 0.0000  4 Re 2.69, 4 Ir 2.69, 4 Ru 2.70
Re 0.5000 0.5000 0.5000  8 Ru 2.69, 2 Ir 2.70, 2 Re 2.70
Ir 0.5000 0.0000 0.0000  8 Ru 2.69, 2 Re 2.70, 2 Ir 2.70

=====

Density functional theory data (meta-GGA SCAN) for a PBEsol-optimized structure of ReIr2Ru.

- formation energy from the elements (meV/atom) = -108.3

Unit cell a=2.6908 b=4.6790 c=4.6992 alpha=99.36 beta=90.02 gamma=106.70
Closest atoms and distances in Å follow each position.
Positions (direct):
Re 0.5001 0.0000 0.5006  7 Ir 2.69-2.73, 2 Re 2.69, 3 Ru 2.70-2.71
Ir 0.2486 0.4963 0.7455  3 Re 2.69-2.70, 5 Ir 2.69-2.74, 4 Ru 2.70-2.71
Ir 0.0008 0.0026 0.0059  3 Ru 2.69, 4 Re 2.69-2.73, 5 Ir 2.69-2.74
Ru 0.7504 0.5011 0.2478  7 Ir 2.69-2.71, 2 Ru 2.69, 3 Re 2.70-2.71

=====

Density functional theory data (meta-GGA SCAN) for a PBEsol-optimized structure of ReIrRu2.

- formation energy from the elements (meV/atom) = -35.2

Unit cell a=2.6844 b=4.6608 c=4.6814 alpha=99.47 beta=90.00 gamma=106.74
Closest atoms and distances in Å follow each position.
Positions (direct):
Re 0.5000 0.0000 0.0000  6 Ru 2.68-2.69, 2 Re 2.68, 4 Ir 2.70
Ir 0.0000 0.0000 0.5000  2 Ir 2.68, 6 Ru 2.70, 4 Re 2.70
Ru 0.7507 0.5015 0.7538  6 Ru 2.67-2.73, 3 Re 2.68-2.69, 3 Ir 2.70
Ru 0.2493 0.4985 0.2462  6 Ru 2.67-2.73, 3 Re 2.68-2.69, 3 Ir 2.70

=====

Density functional theory data (meta-GGA SCAN) for a PBEsol-optimized structure of ReIrRu2.

- formation energy from the elements (meV/atom) = -186.0

Unit cell a=2.7112 b=4.3029 c=4.7136 alpha=90.00 beta=90.00 gamma=90.00
Closest atoms and distances in Å follow each position.
Positions (direct):
Ir 0.0000 0.0000 0.4609  6 Ru 2.67-2.74, 4 Re 2.67, 2 Ir 2.71
Ru 0.0000 0.5000 0.7973  6 Ru 2.65-2.71, 4 Re 2.67-2.77, 2 Ir 2.67
Ru 0.5000 0.0000 0.9569  2 Re 2.65, 6 Ru 2.65-2.71, 4 Ir 2.70-2.74
Re 0.5000 0.5000 0.2850  6 Ru 2.65-2.77, 4 Ir 2.67, 2 Re 2.71

=====

Density functional theory data (meta-GGA SCAN) for a PBEsol-optimized structure of ReIr3Ru.

- formation energy from the elements (meV/atom) = 2125.4

Unit cell a=4.6389 b=4.6389 c=4.6389 alpha=90.00 beta=90.00 gamma=90.00
Closest atoms and distances in Å follow each position.
Positions (direct):
Ir 0.5000 0.0000 0.0000  2 Re 2.32
Ir 0.0000 0.5000 0.0000  2 Re 2.32
Ir 0.0000 0.0000 0.5000  2 Re 2.32
Re 0.0000 0.0000 0.0000  6 Ir 2.32
Ru 0.5000 0.5000 0.5000  12 Ir 3.28

=====

Density functional theory data (meta-GGA SCAN) for a PBEsol-optimized structure of ReIr2Ru.

- formation energy from the elements (meV/atom) = -139.4

Unit cell a=2.6916 b=4.6970 c=4.6970 alpha=110.06 beta=90.00 gamma=90.00
Closest atoms and distances in Å follow each position.
Positions (direct):
Ir 0.0000 0.0000 0.5000  4 Ir 2.69, 4 Re 2.71, 4 Ru 2.71
Ir 0.0000 0.5000 0.0000  4 Ir 2.69, 4 Ru 2.71, 4 Re 2.71
Re 0.5000 0.5000 0.5000  2 Re 2.69, 2 Ru 2.69, 8 Ir 2.71
Ru 0.5000 0.0000 0.0000  2 Ru 2.69, 2 Re 2.69, 8 Ir 2.71